No. 1
{
  "formula": "Ce8Ga2Ge",
  "functional": "PBE",
  "state": "relaxed",
  "lattice": [[4.168, -6.803, 0.000], [4.168, 6.803, 0.000], [-1.870, 0.000, 5.101]],
  "species": ["Ce", "Ce", "Ce", "Ce", "Ce", "Ce", "Ce", "Ce", "Ga", "Ga", "Ge"],
  "frac_coords": [[0.075, 0.281, 0.575], [0.227, 0.773, 0.000], [0.281, 0.075, 0.575], [0.398, 0.398, 0.158], [0.602, 0.602, 0.842], [0.719, 0.925, 0.425], [0.773, 0.227, 0.000], [0.925, 0.719, 0.425], [0.312, 0.688, 0.500], [0.688, 0.312, 0.500], [0.000, 0.000, 0.000]],
  "final_energy_ev_per_cell": -60.782,
  "formation_energy_ev_per_atom": -0.240
}

=====

No. 2
{
  "formula": "CeGa2Ge",
  "functional": "PBE",
  "state": "relaxed",
  "lattice": [[4.274, 0.000, 0.000], [0.000, 4.274, 0.000], [0.000, 0.000, 4.464]],
  "species": ["Ce", "Ga", "Ga", "Ge"],
  "frac_coords": [[0.000, 0.000, 0.000], [0.000, 0.500, 0.500], [0.500, 0.000, 0.500], [0.500, 0.500, 0.000]],
  "final_energy_ev_per_cell": -18.739,
  "formation_energy_ev_per_atom": -0.534
}

=====

No. 3
{
  "formula": "Ce4GaGe8",
  "functional": "PBE",
  "state": "relaxed",
  "lattice": [[4.040, 0.000, 0.000], [0.000, 4.231, 0.000], [0.000, 0.000, 16.844]],
  "species": ["Ce", "Ce", "Ce", "Ce", "Ga", "Ge", "Ge", "Ge", "Ge", "Ge", "Ge", "Ge", "Ge"],
  "frac_coords": [[0.000, 0.000, 0.000], [0.000, 0.500, 0.479], [0.500, 0.000, 0.787], [0.500, 0.500, 0.277], [0.000, 0.500, 0.714], [0.000, 0.000, 0.327], [0.000, 0.000, 0.620], [0.000, 0.500, 0.137], [0.000, 0.500, 0.863], [0.500, 0.000, 0.140], [0.500, 0.000, 0.426], [0.500, 0.500, 0.619], [0.500, 0.500, 0.959]],
  "final_energy_ev_per_cell": -70.575,
  "formation_energy_ev_per_atom": -0.529
}

=====

No. 4
{
  "formula": "CeGaGe4",
  "functional": "PBE",
  "state": "relaxed",
  "lattice": [[0.000, 3.944, 3.944], [3.944, 0.000, 3.944], [3.944, 3.944, 0.000]],
  "species": ["Ce", "Ga", "Ge", "Ge", "Ge", "Ge"],
  "frac_coords": [[0.000, 0.000, 0.000], [0.750, 0.750, 0.750], [0.376, 0.376, 0.376], [0.376, 0.376, 0.872], [0.376, 0.872, 0.376], [0.872, 0.376, 0.376]],
  "final_energy_ev_per_cell": -28.402,
  "formation_energy_ev_per_atom": -0.162
}

=====

No. 5
{
  "formula": "Ce3Ga2Ge6",
  "functional": "PBE",
  "state": "relaxed",
  "lattice": [[-2.140, 2.140, 13.624], [2.140, -2.140, 13.624], [2.140, 2.140, -13.624]],
  "species": ["Ce", "Ce", "Ce", "Ga", "Ga", "Ge", "Ge", "Ge", "Ge", "Ge", "Ge"],
  "frac_coords": [[0.000, 0.000, 0.000], [0.164, 0.164, 0.000], [0.836, 0.836, 0.000], [0.361, 0.361, 0.000], [0.639, 0.639, 0.000], [0.079, 0.579, 0.500], [0.271, 0.271, 0.000], [0.421, 0.921, 0.500], [0.579, 0.079, 0.500], [0.729, 0.729, 0.000], [0.921, 0.421, 0.500]],
  "final_energy_ev_per_cell": -55.989,
  "formation_energy_ev_per_atom": -0.403
}

=====

No. 6
{
  "formula": "Ce8Ga2Ge",
  "functional": "PBE",
  "state": "relaxed",
  "lattice": [[7.523, -3.181, 0.000], [7.523, 3.181, 0.000], [-1.886, 0.000, 5.761]],
  "species": ["Ce", "Ce", "Ce", "Ce", "Ce", "Ce", "Ce", "Ce", "Ga", "Ga", "Ge"],
  "frac_coords": [[0.035, 0.035, 0.314], [0.060, 0.578, 0.393], [0.402, 0.402, 0.963], [0.422, 0.940, 0.607], [0.578, 0.060, 0.393], [0.598, 0.598, 0.037], [0.940, 0.422, 0.607], [0.965, 0.965, 0.686], [0.170, 0.170, 0.039], [0.830, 0.830, 0.961], [0.500, 0.500, 0.500]],
  "final_energy_ev_per_cell": -61.007,
  "formation_energy_ev_per_atom": -0.260
}

=====

No. 7
{
  "formula": "CeGaGe3",
  "functional": "PBE",
  "state": "relaxed",
  "lattice": [[4.452, 0.000, 0.000], [0.000, 5.795, 0.000], [0.000, 0.000, 8.292]],
  "species": ["Ce", "Ce", "Ga", "Ga", "Ge", "Ge", "Ge", "Ge", "Ge", "Ge"],
  "frac_coords": [[0.250, 0.250, 0.197], [0.750, 0.750, 0.803], [0.250, 0.250, 0.805], [0.750, 0.750, 0.195], [0.250, 0.526, 0.565], [0.250, 0.750, 0.046], [0.250, 0.974, 0.565], [0.750, 0.026, 0.435], [0.750, 0.250, 0.954], [0.750, 0.474, 0.435]],
  "final_energy_ev_per_cell": -48.718,
  "formation_energy_ev_per_atom": -0.309
}

=====

No. 8
{
  "formula": "Ce3Ga2Ge2",
  "functional": "PBE",
  "state": "relaxed",
  "lattice": [[5.436, -2.120, 0.000], [5.436, 2.120, 0.000], [-3.721, 0.000, 7.178]],
  "species": ["Ce", "Ce", "Ce", "Ga", "Ga", "Ge", "Ge"],
  "frac_coords": [[0.000, 0.000, 0.000], [0.146, 0.146, 0.615], [0.854, 0.854, 0.385], [0.306, 0.306, 0.076], [0.694, 0.694, 0.924], [0.446, 0.446, 0.690], [0.554, 0.554, 0.310]],
  "final_energy_ev_per_cell": -37.711,
  "formation_energy_ev_per_atom": -0.660
}